Entry 1:
First-principles (PBE) data for a geometry-optimized ErHfAlCu structure, as listed in Alexandria via LeMat-Bulk.

Cell: 4.8235 4.8235 4.8235 Å, 60.00 60.00 60.00°
Closest atoms and distances in Å follow each position.
Sites, in units of the cell vectors:
Er: 0.0000 0.0000 0.0000  4 Al 2.95, 4 Cu 2.95
Hf: 0.5000 0.5000 0.5000  4 Al 2.95, 4 Cu 2.95
Al: 0.7500 0.7500 0.7500  4 Hf 2.95, 4 Er 2.95
Cu: 0.2500 0.2500 0.2500  4 Hf 2.95, 4 Er 2.95

## Properties
The space group is F-43m. As for the crystal system: cubic. The formation enthalpy at 0 K is -0.176 eV per atom. The value obtained for the size of the total moment is 0.0 μB/cell.

=====

Entry 2:
First-principles (PBE) data for a geometry-optimized Er2Al4Cu3Hg structure, as listed in Alexandria via LeMat-Bulk.

Cell: 4.1625 4.1625 10.4496 Å, 90.00 90.00 90.00°
Closest atoms and distances in Å follow each position.
Sites, in units of the cell vectors:
Er: 0.0000 0.5000 0.2394  8 Al 3.16-3.25, 6 Cu 3.17-3.43, 2 Hg 3.43
Er: 0.5000 0.0000 0.7606  8 Al 3.16-3.25, 6 Cu 3.17-3.43, 2 Hg 3.43
Al: 0.0000 0.0000 0.0000  4 Cu 2.46
Al: 0.0000 0.5000 0.6497  3 Cu 2.34-2.60, 2 Hg 2.60
Al: 0.5000 0.0000 0.3503  3 Cu 2.34-2.60, 2 Hg 2.60
Al: 0.5000 0.5000 0.0000  4 Cu 2.46
Cu: 0.0000 0.5000 0.8737  5 Al 2.34-2.46
Cu: 0.5000 0.0000 0.1263  5 Al 2.34-2.46
Cu: 0.5000 0.5000 0.5000  4 Al 2.60
Hg: 0.0000 0.0000 0.5000  4 Al 2.60

## Properties
The space group is P-4m2. As for the crystal system: tetragonal. The formation enthalpy at 0 K is -0.357 eV per atom. The value obtained for the size of the total moment is 0.0 μB/cell.

=====

Entry 3:
First-principles (PBE) data for a geometry-optimized HoErAlCu structure, as listed in Alexandria via LeMat-Bulk.

Cell: 5.0074 5.0074 5.0074 Å, 60.00 60.00 60.00°
Closest atoms and distances in Å follow each position.
Sites, in units of the cell vectors:
Ho: 0.0000 0.0000 0.0000  4 Al 3.07, 4 Cu 3.07
Er: 0.5000 0.5000 0.5000  4 Al 3.07, 4 Cu 3.07
Al: 0.7500 0.7500 0.7500  4 Er 3.07, 4 Ho 3.07
Cu: 0.2500 0.2500 0.2500  4 Er 3.07, 4 Ho 3.07

## Properties
The space group is F-43m. As for the crystal system: cubic. The formation enthalpy at 0 K is -0.296 eV per atom. The value obtained for the size of the total moment is 0.0 μB/cell.